Compound: Ca3MgBi3
Source: Alexandria
Functional: PBE
Structure: optimized geometry

Its density is 5.3 Mg/m³. The calculation puts the magnetization at 0.000 Bohr magnetons per cell. For the total energy, the calculation gives -3.30 eV per atom. For the formation energy, the calculation gives -552 meV per atom.

abc: 7.830 7.830 8.424
angles: 92.27 92.27 109.16
Fractional positions:
Ca 0.582 0.582 0.322
Ca 0.166 0.834 0.500
Ca 0.834 0.166 0.500
Ca 0.220 0.780 0.000
Ca 0.780 0.220 0.000
Ca 0.418 0.418 0.678
Mg 0.792 0.792 0.893
Mg 0.208 0.208 0.107
Bi 0.900 0.900 0.221
Bi 0.865 0.511 0.719
Bi 0.511 0.865 0.719
Bi 0.135 0.489 0.281
Bi 0.489 0.135 0.281
Bi 0.100 0.100 0.779

Compound: Ca3MgBi
Source: Alexandria
Functional: PBE
Structure: optimized geometry

Its density is 3.0 Mg/m³. The calculation puts the magnetization at 0.000 Bohr magnetons per cell. For the total energy, the calculation gives -2.12 eV per atom. The excess energy over the best structure of this formula in the dataset is 1.40 eV per formula unit. For the formation energy, the calculation gives 176 meV per atom.

abc: 5.836 5.836 5.836
angles: 90.00 90.00 90.00
Fractional positions:
Mg 0.000 0.000 0.000
Ca 0.000 0.500 0.000
Ca 0.000 0.000 0.500
Ca 0.500 0.000 0.000
Bi 0.500 0.500 0.500

Compound: CaMg4Bi2
Source: Alexandria
Functional: PBE
Structure: optimized geometry

Its density is 3.6 Mg/m³. The calculation puts the magnetization at 0.000 Bohr magnetons per cell. For the total energy, the calculation gives -1.86 eV per atom. For the formation energy, the calculation gives 449 meV per atom.

abc: 5.714 5.714 8.861
angles: 71.19 71.19 90.00
Fractional positions:
Mg 0.795 0.795 0.410
Mg 0.205 0.205 0.590
Mg 0.000 0.500 0.000
Mg 0.500 0.000 0.000
Ca 0.000 0.000 0.000
Bi 0.607 0.607 0.786
Bi 0.393 0.393 0.214

Compound: CaMg2Bi2
Source: Alexandria
Functional: PBE
Structure: optimized geometry

Its density is 5.8 Mg/m³. The calculation puts the magnetization at 0.000 Bohr magnetons per cell. For the total energy, the calculation gives -2.88 eV per atom. The excess energy over the best structure of this formula in the dataset is 1.23 eV per formula unit. For the formation energy, the calculation gives -292 meV per atom.

abc: 8.717 8.717 3.827
angles: 90.00 90.00 90.00
Fractional positions:
Mg 0.132 0.632 0.500
Mg 0.632 0.868 0.500
Mg 0.868 0.368 0.500
Mg 0.368 0.132 0.500
Ca 0.000 0.000 0.000
Ca 0.500 0.500 0.000
Bi 0.335 0.835 0.000
Bi 0.835 0.665 0.000
Bi 0.665 0.165 0.000
Bi 0.165 0.335 0.000